VASP calculation (PBE with a Hubbard U) on an optimized crystal structure of Li13Ni15O28.

Properties
E_tot: -4.8473 eV per atom

Cell: 7.715 8.213 8.739 Å, 103.03 104.76 105.36°
Last column: magnetic moment on the atom in μB.
Fractional coordinates of all 56 atoms:
O 0.633 0.695 0.588  -0.11
O 0.994 0.237 0.491  0.13
O 0.146 0.663 0.060  -0.08
O 0.223 0.413 0.875  -0.13
O 0.841 0.796 0.920  -0.09
O 0.212 0.876 0.858  0.04
O 0.777 0.587 0.125  -0.13
O 0.714 0.380 0.340  0.07
O 0.081 0.465 0.273  -0.01
O 0.919 0.535 0.727  -0.01
O 0.788 0.124 0.142  0.04
O 0.737 0.908 0.368  0.11
O 0.094 0.973 0.294  -0.04
O 0.367 0.305 0.412  -0.11
O 0.159 0.204 0.080  -0.09
O 0.493 0.251 0.014  -0.02
O 0.906 0.027 0.706  -0.04
O 0.448 0.036 0.216  0.18
O 0.006 0.763 0.509  0.13
O 0.286 0.620 0.660  0.07
O 0.552 0.964 0.784  0.18
O 0.373 0.840 0.443  -0.04
O 0.507 0.749 0.986  -0.02
O 0.442 0.536 0.201  0.02
O 0.263 0.092 0.632  0.11
O 0.854 0.337 0.940  -0.08
O 0.558 0.464 0.799  0.02
O 0.627 0.160 0.557  -0.04
Ni 0.568 0.713 0.787  1.18
Ni 0.923 0.784 0.715  1.68
Ni 0.000 0.000 0.500  1.11
Ni 0.432 0.287 0.213  1.18
Ni 0.641 0.931 0.574  1.21
Ni 0.719 0.143 0.356  2.09
Ni 0.359 0.069 0.426  1.21
Ni 0.850 0.566 0.926  1.12
Ni 0.281 0.857 0.644  2.09
Ni 0.791 0.360 0.142  1.18
Ni 0.209 0.640 0.858  1.18
Ni 0.500 0.000 0.000  1.66
Ni 0.500 0.500 0.000  1.19
Ni 0.150 0.434 0.074  1.12
Ni 0.077 0.216 0.285  1.68
Li 0.429 0.781 0.218  0.01
Li 0.641 0.429 0.575  0.01
Li 0.141 0.924 0.074  0.01
Li 0.282 0.354 0.644  0.02
Li 0.926 0.285 0.712  0.01
Li 0.718 0.646 0.356  0.02
Li 0.000 0.500 0.500  0.00
Li 0.859 0.076 0.926  0.01
Li 0.571 0.219 0.782  0.01
Li 0.359 0.571 0.425  0.01
Li 0.074 0.715 0.288  0.01
Li 0.794 0.856 0.143  0.01
Li 0.206 0.144 0.857  0.01